(1)
Computed, not measured: ScVCu2Ag after structural relaxation at the GGA-PBE level of DFT.

Calculated values
Fermi-level density of states: 0.78 states/eV/atom
formation energy: 1036 meV per atom
crystal system: tetragonal
M_tot: 3.68 μB/f.u.
uncorrected energy: -0.31328 Ry per atom

```
data_ScVCu2Ag
_cell_length_a 4.709
_cell_length_b 4.932
_cell_length_c 4.709
_cell_angle_alpha 90.00
_cell_angle_beta 90.00
_cell_angle_gamma 90.00
_symmetry_space_group_name_H-M 'P 1'
_symmetry_Int_Tables_number 1
_symmetry_space_group_name_Hall 'P 1'
loop_
_atom_site_label
_atom_site_type_symbol
_atom_site_fract_x
_atom_site_fract_y
_atom_site_fract_z
Sc1 Sc 0.000 0.500 0.000
Ag1 Ag 0.000 0.000 0.000
V1 V 0.500 0.500 0.500
Cu1 Cu 0.500 0.000 0.000
Cu2 Cu 0.000 0.000 0.500
```

(2)
Computed, not measured: K2AsOs after structural relaxation at the GGA-PBE level of DFT.

Calculated values
Fermi-level density of states: 1.02 states/eV/atom
formation energy: 1024 meV per atom
crystal system: cubic
M_tot: 2.22 μB/f.u.
uncorrected energy: -0.25687 Ry per atom

```
data_K2AsOs
_cell_length_a 5.078
_cell_length_b 5.078
_cell_length_c 5.078
_cell_angle_alpha 60.00
_cell_angle_beta 60.00
_cell_angle_gamma 60.00
_symmetry_space_group_name_H-M 'P 1'
_symmetry_Int_Tables_number 1
_symmetry_space_group_name_Hall 'P 1'
loop_
_atom_site_label
_atom_site_type_symbol
_atom_site_fract_x
_atom_site_fract_y
_atom_site_fract_z
As1 As 0.500 0.500 0.500
K1 K 0.000 0.000 0.000
K2 K 0.250 0.250 0.250
Os1 Os 0.750 0.750 0.750
```

(3)
Computed, not measured: RbNa5Cd after structural relaxation at the GGA-PBE level of DFT.

Calculated values
Fermi-level density of states: 0.66 states/eV/atom
formation energy: 15 meV per atom
crystal system: tetragonal
M_tot: 0.00 μB/f.u.
uncorrected energy: -0.08790 Ry per atom

```
data_RbNa5Cd
_cell_length_a 4.894
_cell_length_b 4.894
_cell_length_c 12.226
_cell_angle_alpha 90.00
_cell_angle_beta 90.00
_cell_angle_gamma 90.00
_symmetry_space_group_name_H-M 'P 1'
_symmetry_Int_Tables_number 1
_symmetry_space_group_name_Hall 'P 1'
loop_
_atom_site_label
_atom_site_type_symbol
_atom_site_fract_x
_atom_site_fract_y
_atom_site_fract_z
Na1 Na 0.500 0.000 0.203
Na2 Na 0.500 0.000 0.797
Na3 Na 0.000 0.000 0.000
Na4 Na 0.000 0.500 0.797
Rb1 Rb 0.000 0.000 0.500
Na5 Na 0.000 0.500 0.203
Cd1 Cd 0.500 0.500 0.000
```

Which of these has the highest formation energy? ScVCu2Ag